Compound: RbNbCuS2
Source: Alexandria
Functional: PBE
Structure: optimized geometry

```
RbNbCuS2
1.0
4.9209 0.0000 0.0000
0.0000 4.8377 0.0000
0.0000 0.0000 4.9209
S Rb Nb Cu
2 1 1 1
Direct
0.0000 0.0000 0.5000
0.5000 0.0000 0.0000
0.5000 0.5000 0.5000
0.0000 0.5000 0.0000
0.0000 0.0000 0.0000
```

total magnetic moment: 3.13 μB/f.u.
formation energy without anion corrections: 0.588 eV/atom

---

Compound: NdDyFe14C
Source: Alexandria
Functional: PBE
Structure: optimized geometry

```
NdDyFe14C
1.0
-8.6108 0.2944 1.5619
1.1373 -4.8699 7.1876
1.5012 9.8306 6.4231
Fe C Nd Dy
56 4 4 4
Direct
0.0661 0.2742 0.6212
0.6414 0.9652 0.1764
0.2258 0.5661 0.1212
0.3164 0.3164 0.2466
0.0966 0.0966 0.7950
0.5000 0.5000 0.1080
0.4034 0.5966 0.7050
0.5966 0.4034 0.7050
0.3164 0.3164 0.7534
0.8164 0.1836 0.7466
0.0000 0.0000 0.3920
0.9034 0.9034 0.7950
0.6836 0.6836 0.2466
0.9339 0.7258 0.3788
0.9034 0.9034 0.2050
0.5000 0.0000 0.0000
0.3586 0.0348 0.8236
0.8586 0.4652 0.3236
0.3586 0.0348 0.1764
0.1836 0.8164 0.2534
0.1414 0.5348 0.6764
0.4034 0.5966 0.2950
0.5000 0.5000 0.8920
0.0000 0.0000 0.6080
0.7742 0.4339 0.1212
0.5348 0.1414 0.6764
0.2742 0.0661 0.6212
0.5966 0.4034 0.2950
0.4652 0.8586 0.3236
0.5661 0.2258 0.8788
0.0348 0.3586 0.1764
0.0000 0.5000 0.5000
0.7258 0.9339 0.6212
0.0000 0.5000 0.0000
0.7742 0.4339 0.8788
0.6414 0.9652 0.8236
0.0661 0.2742 0.3788
0.0966 0.0966 0.2050
0.9339 0.7258 0.6212
0.9652 0.6414 0.1764
0.4339 0.7742 0.1212
0.7258 0.9339 0.3788
0.5661 0.2258 0.1212
0.0348 0.3586 0.8236
0.6836 0.6836 0.7534
0.5000 0.0000 0.5000
0.5348 0.1414 0.3236
0.8586 0.4652 0.6764
0.1836 0.8164 0.7466
0.4652 0.8586 0.6764
0.2742 0.0661 0.3788
0.4339 0.7742 0.8788
0.2258 0.5661 0.8788
0.8164 0.1836 0.2534
0.9652 0.6414 0.8236
0.1414 0.5348 0.3236
0.6264 0.3736 0.0000
0.1264 0.1264 0.5000
0.3736 0.6264 0.0000
0.8736 0.8736 0.5000
0.2415 0.7585 0.5000
0.2585 0.2585 0.0000
0.7585 0.2415 0.5000
0.7415 0.7415 0.0000
0.1454 0.8546 0.0000
0.6454 0.6454 0.5000
0.8546 0.1454 0.0000
0.3546 0.3546 0.5000
```

total magnetic moment: 30.59 μB/f.u.
formation enthalpy at 0 K: -0.7 eV per formula unit

---

Compound: ZrSbRu
Source: Alexandria
Functional: PBE
Structure: optimized geometry

```
ZrSbRu
1.0
-1.6942 4.1991 -0.7719
-4.1939 1.0990 1.5171
-0.4810 2.9580 3.4810
Zr Ru Sb
1 1 1
Direct
0.2500 0.2500 0.2500
0.0000 0.0000 0.0000
0.5000 0.5000 0.5000
```

total magnetic moment: 0.00 μB/f.u.
formation energy without anion corrections: 0.125 eV/atom